PBE-GGA CuMoSe, relaxed; uncorrected formation energy = 0.19 eV/atom; volume = 45.16 Å³ per cell; density of states at the Fermi level = 3.646 states/eV/f.u.; space-group type = I4mm, No. 107; polymorph energy (0 for the lowest one) = 0.163 eV/atom; size of the total moment = 0.000 Bohr magnetons per cell; uncorrected energy = -17.83 eV/cell
1.0
-4.304 2.586 0.567
-2.812 0.427 4.177
4.723 0.301 -1.773
Cu Mo Se
1 1 1
Direct
0.003 0.003 0.000
0.323 0.323 0.000
0.673 0.673 0.000